Entry from the Alexandria database: BeV2O6 after structural relaxation (PBE+U).

Properties
Energy: -7.406 eV per atom
Calculated density: 2.29 g/cm3
Volume: 150.2 Å³/f.u.

Lattice parameters (Å, degrees): 10.7532 11.5217 5.6849 90.00 121.45 90.00
Closest atoms and distances in Å follow each position.
Space group C2/c (No. 15)
One atom of each set of equivalent atoms:
Be 0.0000 0.2381 0.2500  4 O 1.63
V 0.2405 0.4136 0.7043  4 O 1.68-1.81
O 0.0992 0.1546 0.1808  1 Be 1.63, 1 V 1.69
O 0.1024 0.3210 0.5141  1 Be 1.63, 1 V 1.68
O 0.2274 0.4679 0.9900  2 V 1.79-1.81